Density functional theory data (SCAN) for a PBEsol-optimized structure of Mo2P3O13.

Values from the calculation:
Distance to the lowest polymorph of the same formula, eV/atom: 0.000
Space-group type: P2_1
Formation energy from raw total energies, eV per atom: -2.2658

Cell lengths 6.3344, 9.7874, 18.9793 Å; angles 90.00, 90.00, 106.84 degrees
With the nearest neighbours (Å) after each atom.
Positions (direct):
1 O 0.7926 0.7865 0.9502  1 Mo 1.66
2 O 0.8727 0.3733 0.0315  1 P 1.54
3 O 0.0781 0.9363 0.4153  1 P 1.54
4 O 0.0395 0.8627 0.5518  1 P 1.50
5 O 0.8241 0.0538 0.5052  1 P 1.53
6 O 0.0659 0.4274 0.8711  1 Mo 1.65
7 O 0.5652 0.9523 0.0070  1 P 1.53
8 O 0.5782 0.9360 0.4036  1 P 1.54
9 O 0.9341 0.0467 0.3116  1 P 1.53
10 O 0.3231 0.0518 0.3131  1 P 1.53
11 O 0.0997 0.3399 0.6756  1 P 1.50
12 O 0.6775 0.1567 0.2259  1 P 1.54
13 O 0.2596 0.3769 0.0566  1 P 1.53
14 O 0.1636 0.5855 0.7533  1 P 1.53
15 O 0.7060 0.2125 0.3681  1 Mo 1.66
16 O 0.8364 0.4145 0.2533  1 P 1.53
17 O 0.6769 0.9482 0.8131  1 P 1.53
18 O 0.5987 0.3387 0.1432  1 P 1.50
19 O 0.5644 0.4251 0.9477  1 Mo 1.65
20 O 0.4645 0.1789 0.0231  1 P 1.53
21 O 0.4356 0.5749 0.4477  1 Mo 1.65
22 O 0.2074 0.2135 0.4502  1 Mo 1.66
23 O 0.9341 0.5726 0.3711  1 Mo 1.65
24 O 0.2392 0.6219 0.2621  1 P 1.53
25 O 0.0160 0.6899 0.6521  2 P 1.61
26 O 0.4348 0.0477 0.5070  1 P 1.53
27 O 0.6627 0.5838 0.0654  1 P 1.53
28 O 0.9605 0.1373 0.0518  1 P 1.50
29 O 0.4851 0.3115 0.6666  2 P 1.61
30 O 0.3225 0.8433 0.7259  1 P 1.54
31 O 0.0332 0.8193 0.2963  1 P 1.53
32 O 0.4218 0.0640 0.9036  1 P 1.54
33 O 0.0659 0.9533 0.8116  1 P 1.53
34 O 0.1759 0.9462 0.0052  1 P 1.53
35 O 0.9840 0.3101 0.1521  2 P 1.61
36 O 0.4607 0.1390 0.7672  1 P 1.50
37 O 0.9219 0.0637 0.9153  1 P 1.54
38 O 0.3373 0.4162 0.5654  1 P 1.53
39 O 0.2940 0.7875 0.8681  1 Mo 1.66
40 O 0.5149 0.6885 0.1666  2 P 1.61
41 O 0.4013 0.6613 0.6432  1 P 1.50
42 O 0.1273 0.6267 0.5315  1 P 1.54
43 O 0.5393 0.8610 0.2672  1 P 1.50
44 O 0.7404 0.6231 0.5566  1 P 1.53
45 O 0.5355 0.8211 0.5231  1 P 1.53
46 O 0.7608 0.3781 0.7621  1 P 1.53
47 O 0.1787 0.1584 0.5926  1 P 1.54
48 O 0.9003 0.6601 0.1756  1 P 1.50
49 O 0.6256 0.6244 0.2872  1 P 1.54
50 O 0.8213 0.8416 0.0926  1 P 1.54
51 O 0.9668 0.1807 0.7963  1 P 1.53
52 O 0.3744 0.3756 0.7872  1 P 1.54
53 Mo 0.4350 0.6149 0.5324  1 O 1.65
54 Mo 0.8628 0.9330 0.9990  1 O 1.66
55 Mo 0.9336 0.6132 0.2865  1 O 1.65
56 Mo 0.6363 0.0656 0.3196  1 O 1.66
57 Mo 0.1372 0.0670 0.4990  1 O 1.66
58 Mo 0.0664 0.3868 0.7865  1 O 1.65
59 Mo 0.5650 0.3851 0.0324  1 O 1.65
60 Mo 0.3637 0.9344 0.8196  1 O 1.66
61 P 0.7376 0.6920 0.1252  4 O 1.50-1.61
62 P 0.4075 0.0363 0.9837  4 O 1.53-1.54
63 P 0.5186 0.2953 0.7499  4 O 1.50-1.61
64 P 0.0175 0.2936 0.0688  4 O 1.50-1.61
65 P 0.0915 0.9626 0.3351  4 O 1.53-1.54
66 P 0.9825 0.7064 0.5688  4 O 1.50-1.61
67 P 0.5925 0.9637 0.4837  4 O 1.53-1.54
68 P 0.2386 0.6935 0.6935  4 O 1.50-1.61
69 P 0.4814 0.7047 0.2499  4 O 1.50-1.61
70 P 0.9085 0.0374 0.8351  4 O 1.53-1.54
71 P 0.7614 0.3065 0.1935  4 O 1.50-1.61
72 P 0.2624 0.3080 0.6252  4 O 1.50-1.61

Density functional theory data (SCAN) for a PBEsol-optimized structure of Li2PW.

Values from the calculation:
Energy, hartree per atom: -0.76497
Space-group type: I-42d

Cell lengths 4.6598, 5.4262, 5.4262 Å; angles 79.38, 64.57, 64.57 degrees
With the nearest neighbours (Å) after each atom.
Positions (direct):
1 P 0.2500 0.5000 0.5000  2 W 2.33, 4 Li 2.34
2 P 0.5000 0.0000 0.0000  2 W 2.33, 4 Li 2.34
3 W 0.0000 0.0000 0.0000  2 P 2.33
4 W 0.7500 0.5000 0.5000  2 P 2.33
5 Li 0.5847 0.5403 0.0403  2 P 2.34, 2 Li 2.40
6 Li 0.8750 0.9597 0.5403  2 P 2.34, 2 Li 2.40
7 Li 0.1653 0.4597 0.9597  2 P 2.34, 2 Li 2.40
8 Li 0.3750 0.0403 0.4597  2 P 2.34, 2 Li 2.40

Density functional theory data (SCAN) for a PBEsol-optimized structure of Al2GaSi2.

Values from the calculation:
Space-group type: P4/mbm
Formation energy from raw total energies, eV per atom: 0.2535

Cell lengths 2.8099, 7.6074, 7.6074 Å; angles 90.00, 90.00, 90.00 degrees
With the nearest neighbours (Å) after each atom.
Positions (direct):
1 Si 0.0000 0.8455 0.6545  6 Al 2.60-2.66, 2 Si 2.81, 2 Ga 2.88
2 Si 0.0000 0.6545 0.1545  6 Al 2.60-2.66, 2 Si 2.81, 2 Ga 2.88
3 Si 0.0000 0.3455 0.8455  6 Al 2.60-2.66, 2 Si 2.81, 2 Ga 2.88
4 Si 0.0000 0.1545 0.3455  6 Al 2.60-2.66, 2 Si 2.81, 2 Ga 2.88
5 Al 0.5000 0.6418 0.8582  6 Si 2.60-2.66, 2 Al 2.81
6 Al 0.5000 0.1418 0.6418  6 Si 2.60-2.66, 2 Al 2.81
7 Al 0.5000 0.3582 0.1418  6 Si 2.60-2.66, 2 Al 2.81
8 Al 0.5000 0.8582 0.3582  6 Si 2.60-2.66, 2 Al 2.81
9 Ga 0.0000 0.0000 0.0000  2 Ga 2.81, 4 Si 2.88
10 Ga 0.0000 0.5000 0.5000  2 Ga 2.81, 4 Si 2.88

Density functional theory data (SCAN) for a PBEsol-optimized structure of Ag2PdAu.

Values from the calculation:
Energy, hartree per atom: -1.51520
Space-group type: Fm-3m

Cell lengths 4.5009, 4.5009, 4.5009 Å; angles 60.00, 60.00, 60.00 degrees
With the nearest neighbours (Å) after each atom.
Positions (direct):
1 Ag 0.7500 0.7500 0.7500  4 Pd 2.76, 4 Au 2.76
2 Ag 0.2500 0.2500 0.2500  4 Au 2.76, 4 Pd 2.76
3 Pd 0.0000 0.0000 0.0000  8 Ag 2.76
4 Au 0.5000 0.5000 0.5000  8 Ag 2.76

Number 1: calculated volume 15.6 A^3/atom, magnetization 1.0 μB per formula unit, Fermi-level density of states 14.138 states/eV per cell. Number 2: calculated volume 14.0 A^3/atom, magnetization 0.0 μB per formula unit, Fermi-level density of states 3.751 states/eV per cell. Number 3: calculated volume 16.3 A^3/atom, magnetization 0.0 μB per formula unit, Fermi-level density of states 3.780 states/eV per cell. Number 4: calculated volume 16.1 A^3/atom, magnetization 0.0 μB per formula unit, Fermi-level density of states 1.051 states/eV per cell.